Computed, not measured: a relaxed CaZrPb crystal at the PBE level of DFT.

a = 4.688 Å, b = 4.703 Å, c = 14.977 Å
α = 90.00°, β = 90.00°, γ = 90.00°
Space group Fmm2 (No. 42)
One atom of each set of equivalent atoms:
Ca 0.000 0.000 0.000 [4 per cell]
Zr 0.000 0.000 0.682 [4 per cell]
Pb 0.000 0.000 0.330 [4 per cell]

Calculated values
- crystal system = orthorhombic
- DFT total energy (eV per atom) = -4.810